BaGa2WO: relaxed, PBE+U.

Final energy   -2.868 eV/atom
Total magnetization   1.4 μB per formula unit
Symmetry   P4/mmm, No. 123
DOS(E_F)   5.169 states/eV/cell

```
BaGa2WO
1.0
6.271 0.000 0.000
0.000 6.271 0.000
0.000 0.000 4.578
Ba Ga W O
1 2 1 1
Direct
0.000 0.000 0.000
0.000 0.500 0.000
0.500 0.000 0.000
0.500 0.500 0.500
0.000 0.000 0.500
```